No. 1
Density functional theory data (PBE-GGA) for a relaxed Mg3ZnIn3Rh2 crystal.

Summary:
energy of formation	-0.26	eV per atom
calculated density	6.76	g cm⁻³
SG	P-62m (189)
crystal system	hexagonal

a b c (Å): 7.818 7.818 3.195
angles (deg): 90.00 90.00 120.00
Fractional coordinates of all 9 atoms:
Mg 0.000 0.616 0.000
Mg 0.384 0.384 0.000
Mg 0.616 0.000 0.000
Zn 0.000 0.000 0.000
In 0.000 0.299 0.500
In 0.299 0.000 0.500
In 0.701 0.701 0.500
Rh 0.333 0.667 0.500
Rh 0.667 0.333 0.500

=====

No. 2
Density functional theory data (PBE-GGA) for a relaxed La3TbRu crystal.

Summary:
energy of formation	-0.05	eV per atom
calculated density	6.47	g cm⁻³
SG	Pm-3m (221)
excess energy over the best structure of this formula in the dataset	0.379	eV/f.u.
crystal system	cubic

a b c (Å): 5.580 5.580 5.580
angles (deg): 90.00 90.00 90.00
Fractional coordinates of all 5 atoms:
La 0.000 0.000 0.500
La 0.000 0.500 0.000
La 0.500 0.000 0.000
Tb 0.500 0.500 0.500
Ru 0.000 0.000 0.000

=====

No. 3
Density functional theory data (PBE-GGA) for a relaxed HfHgOF2 crystal.

Summary:
calculated density	8.26	g cm⁻³
ΔE_f (raw)	-0.380	eV per atom
SG	P4/mmm (123)
excess energy over the best structure of this formula in the dataset	10.999	eV/f.u.
crystal system	tetragonal

a b c (Å): 4.504 4.504 4.294
angles (deg): 90.00 90.00 90.00
Fractional coordinates of all 5 atoms:
Hf 0.000 0.000 0.000
Hg 0.500 0.500 0.500
O 0.500 0.500 0.000
F 0.000 0.500 0.500
F 0.500 0.000 0.500

=====

Q: calculated density of number 3 (HfHgOF2)?
A: 8.26 g cm⁻³

=====

Q: Which of these has the lowest calculated density?
A: La3TbRu

=====

Q: calculated density of number 1 (Mg3ZnIn3Rh2)?
A: 6.76 g cm⁻³

=====

Please write out number 2 again, unchanged.
Density functional theory data (PBE-GGA) for a relaxed La3TbRu crystal.

Summary:
energy of formation	-0.05	eV per atom
calculated density	6.47	g cm⁻³
SG	Pm-3m (221)
excess energy over the best structure of this formula in the dataset	0.379	eV/f.u.
crystal system	cubic

a b c (Å): 5.580 5.580 5.580
angles (deg): 90.00 90.00 90.00
Fractional coordinates of all 5 atoms:
La 0.000 0.000 0.500
La 0.000 0.500 0.000
La 0.500 0.000 0.000
Tb 0.500 0.500 0.500
Ru 0.000 0.000 0.000